# TcGeSeBr2 | the Alexandria database | GGA-PBEsol | optimized geometry
data_TcGeSeBr2
_space_group_name_H-M_alt 'P 4/m m m'
_space_group_IT_number 123
_space_group_name_Hall '-P 4 2'
_cell_length_a 5.064
_cell_length_b 5.064
_cell_length_c 5.138
_cell_angle_alpha 90.00
_cell_angle_beta 90.00
_cell_angle_gamma 90.00
loop_
_atom_site_label
_atom_site_type_symbol
_atom_site_fract_x
_atom_site_fract_y
_atom_site_fract_z
Tc1 Tc 0.000 0.000 0.000
Ge1 Ge 0.500 0.500 0.500
Se1 Se 0.500 0.500 0.000
Br1 Br 0.000 0.500 0.500
# - distance to the lowest polymorph of the same formula (eV per atom) = 0.426
# - uncorrected formation energy (eV per atom) = 0.832
# - D(E_F) (states/eV per atom) = 0.54
# - total energy (eV per cell) = -19.63

***

# ZrGeSe2Br | the Alexandria database | GGA-PBEsol | optimized geometry
data_ZrGeSe2Br
_space_group_name_H-M_alt 'P 4/m m m'
_space_group_IT_number 123
_space_group_name_Hall '-P 4 2'
_cell_length_a 5.165
_cell_length_b 5.165
_cell_length_c 5.135
_cell_angle_alpha 90.00
_cell_angle_beta 90.00
_cell_angle_gamma 90.00
loop_
_atom_site_label
_atom_site_type_symbol
_atom_site_fract_x
_atom_site_fract_y
_atom_site_fract_z
Zr1 Zr 0.000 0.000 0.000
Ge1 Ge 0.500 0.500 0.500
Se1 Se 0.000 0.500 0.000
Br1 Br 0.000 0.000 0.500
# - uncorrected formation energy (eV per atom) = -0.311
# - D(E_F) (states/eV per atom) = 0.60
# - total energy (eV per cell) = -25.15

***

# SiGe2Br | the Alexandria database | GGA-PBEsol | optimized geometry
data_SiGe2Br
_space_group_name_H-M_alt 'F m -3 m'
_space_group_IT_number 225
_space_group_name_Hall '-F 4 2 3'
_cell_length_a 6.735
_cell_length_b 6.735
_cell_length_c 6.735
_cell_angle_alpha 90.00
_cell_angle_beta 90.00
_cell_angle_gamma 90.00
loop_
_atom_site_label
_atom_site_type_symbol
_atom_site_fract_x
_atom_site_fract_y
_atom_site_fract_z
Si1 Si 0.000 0.000 0.000
Ge1 Ge 0.250 0.250 0.250
Br1 Br 0.000 0.000 0.500
# - uncorrected formation energy (eV per atom) = 0.414
# - D(E_F) (states/eV per atom) = 0.63
# - total energy (eV per cell) = -63.35

***

# Si3GeBr | the Alexandria database | GGA-PBEsol | optimized geometry
data_Si3GeBr
_space_group_name_H-M_alt 'P m -3 m'
_space_group_IT_number 221
_space_group_name_Hall '-P 4 2 3'
_cell_length_a 4.903
_cell_length_b 4.903
_cell_length_c 4.903
_cell_angle_alpha 90.00
_cell_angle_beta 90.00
_cell_angle_gamma 90.00
loop_
_atom_site_label
_atom_site_type_symbol
_atom_site_fract_x
_atom_site_fract_y
_atom_site_fract_z
Si1 Si 0.000 0.000 0.500
Ge1 Ge 0.500 0.500 0.500
Br1 Br 0.000 0.000 0.000
# - uncorrected formation energy (eV per atom) = 1.372
# - D(E_F) (states/eV per atom) = 0.49
# - total energy (eV per cell) = -17.19

***

# ZrSiGe2Br | the Alexandria database | GGA-PBEsol | optimized geometry
data_ZrSiGe2Br
_space_group_name_H-M_alt 'P 4/m m m'
_space_group_IT_number 123
_space_group_name_Hall '-P 4 2'
_cell_length_a 4.670
_cell_length_b 4.670
_cell_length_c 4.940
_cell_angle_alpha 90.00
_cell_angle_beta 90.00
_cell_angle_gamma 90.00
loop_
_atom_site_label
_atom_site_type_symbol
_atom_site_fract_x
_atom_site_fract_y
_atom_site_fract_z
Zr1 Zr 0.000 0.000 0.000
Si1 Si 0.500 0.500 0.500
Ge1 Ge 0.000 0.500 0.500
Br1 Br 0.500 0.500 0.000
# - uncorrected formation energy (eV per atom) = 0.559
# - D(E_F) (states/eV per atom) = 0.73
# - total energy (eV per cell) = -23.79

***

# GeTe3Br | the Alexandria database | GGA-PBEsol | optimized geometry
data_GeTe3Br
_space_group_name_H-M_alt 'P m -3 m'
_space_group_IT_number 221
_space_group_name_Hall '-P 4 2 3'
_cell_length_a 5.439
_cell_length_b 5.439
_cell_length_c 5.439
_cell_angle_alpha 90.00
_cell_angle_beta 90.00
_cell_angle_gamma 90.00
loop_
_atom_site_label
_atom_site_type_symbol
_atom_site_fract_x
_atom_site_fract_y
_atom_site_fract_z
Ge1 Ge 0.000 0.000 0.000
Te1 Te 0.000 0.500 0.500
Br1 Br 0.500 0.500 0.500
# - uncorrected formation energy (eV per atom) = 0.883
# - D(E_F) (states/eV per atom) = 0.89
# - total energy (eV per cell) = -12.97